# LaIrOs2 | Alexandria | PBE | relaxed
data_LaIrOs2
_chemical_formula_sum 'La1 Ir1 Os2'
_cell_length_a 10.169
_cell_length_b 10.169
_cell_length_c 10.169
_cell_angle_alpha 15.92
_cell_angle_beta 15.92
_cell_angle_gamma 15.92
_symmetry_space_group_name_H-M 'P 1'
_symmetry_Int_Tables_number 1
_symmetry_space_group_name_Hall 'P 1'
loop_
_atom_site_label
_atom_site_fract_x
_atom_site_fract_y
_atom_site_fract_z
La1 0.000 0.000 0.000
Ir1 0.500 0.500 0.500
Os1 0.239 0.239 0.239
Os2 0.761 0.761 0.761
# Spin magnetization = 0.14 μB/f.u.
# Energy above the most stable polymorph in this dataset = 419 meV/atom
# E_form = 0.611 eV per atom